# 1
This record from Alexandria via LeMat-Bulk describes a geometry-optimized V2GaB2Ru5 structure. The functional is PBE.

abc: 9.1866 9.1866 2.9318
angles: 90.00 90.00 90.00
With the nearest neighbours (Å) after each atom.
Space group P4/mbm (No. 127)
Unique sites:
V  0.1757  0.3243  0.0000 x4  3 B 2.57-2.81, 6 Ru 2.71-2.76
Ga  0.0000  0.0000  0.0000 x2  8 Ru 2.54
B  0.1262  0.6262  0.0000 x4  6 Ru 2.14-2.20
Ru  0.0000  0.5000  0.5000 x2  4 B 2.20
Ru  0.0724  0.7864  0.5000 x8  2 B 2.14

Properties
E (eV/atom): -8.4785
Crystal system: tetragonal
Energy of formation (kJ per mole of atoms): -36.5
Total moment (μB/f.u.): 0.3

# 2
This record from Alexandria via LeMat-Bulk describes a geometry-optimized Ga3BS structure. The functional is PBE.

abc: 4.8468 4.8468 4.8468
angles: 90.00 90.00 90.00
With the nearest neighbours (Å) after each atom.
Space group Pm-3m (No. 221)
Unique sites:
Ga  0.0000  0.0000  0.5000 x3  2 S 2.42
B  0.5000  0.5000  0.5000 x1  12 Ga 3.43
S  0.0000  0.0000  0.0000 x1  6 Ga 2.42

Properties
Formation energy from raw total energies (eV/atom): 1.222
E (eV/atom): -2.7548
Crystal system: cubic
Energy relative to the lowest polymorph listed for this composition (meV/atom): 1028
Total moment (μB/f.u.): 0.0

E of number 2 (Ga3BS)?
-2.7548 eV/atom